(1)
# KPmIn2 PBE-GGA optimized geometry
data_KPmIn2
_chemical_formula_sum 'K1 Pm1 In2'
_cell_length_a 3.951
_cell_length_b 3.951
_cell_length_c 8.486
_cell_angle_alpha 90.00
_cell_angle_beta 90.00
_cell_angle_gamma 90.00
_space_group_name_H-M_alt 'P 4/m m m'
_space_group_IT_number 123
_space_group_name_Hall '-P 4 2'
loop_
_atom_site_label
_atom_site_type_symbol
_atom_site_fract_x
_atom_site_fract_y
_atom_site_fract_z
K1 K 0.000 0.000 0.000
Pm1 Pm 0.000 0.000 0.500
In1 In 0.500 0.500 0.295
# E_form = -0.2385 eV per atom
# M_tot = 0.00 μB/f.u.
# density of states at the Fermi level = 2.56 states/eV/f.u.



(2)
# In4Pd5Au PBE-GGA optimized geometry
data_In4Pd5Au
_chemical_formula_sum 'In4 Pd5 Au1'
_cell_length_a 3.347
_cell_length_b 3.347
_cell_length_c 15.770
_cell_angle_alpha 90.00
_cell_angle_beta 90.00
_cell_angle_gamma 90.00
_space_group_name_H-M_alt 'P 4/m m m'
_space_group_IT_number 123
_space_group_name_Hall '-P 4 2'
loop_
_atom_site_label
_atom_site_type_symbol
_atom_site_fract_x
_atom_site_fract_y
_atom_site_fract_z
In1 In 0.000 0.000 0.102
In2 In 0.000 0.000 0.307
Pd1 Pd 0.500 0.500 0.000
Pd2 Pd 0.500 0.500 0.204
Pd3 Pd 0.500 0.500 0.399
Au1 Au 0.000 0.000 0.500
# E_form = -0.4439 eV per atom
# M_tot = 0.00 μB/f.u.
# density of states at the Fermi level = 2.57 states/eV/f.u.